1.
Density functional theory data (GGA-PBE) for PaCoRh after structural relaxation.

Calculated values
- SG = Cmcm, No. 63
- D(E_F) (states/eV/cell) = 5.61
- energy above the most stable polymorph in this dataset (meV per atom) = 146
- magnetization (μB/atom) = 0.000
- formation energy from the elements (meV/atom) = -452

Geometry as extended XYZ:
```
6
Lattice="1.887 -6.429 0.000 1.887 6.429 0.000 0.000 0.000 4.139" Properties=species:S:1:pos:R:3 pbc="T T T"
Pa 1.887 5.184 3.104
Pa 1.887 -5.184 1.035
Co 1.887 0.997 3.104
Co 1.887 -0.997 1.035
Rh 1.887 3.328 1.035
Rh 1.887 -3.328 3.104
```

2.
Density functional theory data (GGA-PBE) for Pa4Co5Rh2 after structural relaxation.

Calculated values
- SG = Fmmm, No. 69
- D(E_F) (states/eV/cell) = 7.51
- magnetization (μB/atom) = 0.066
- formation energy from the elements (meV/atom) = -68

Geometry as extended XYZ:
```
11
Lattice="0.000 6.386 7.272 2.226 0.000 7.272 2.226 6.386 0.000" Properties=species:S:1:pos:R:3 pbc="T T T"
Pa 2.226 1.721 5.405
Pa 2.226 1.721 9.140
Pa 2.226 11.050 5.405
Pa 2.226 11.050 9.140
Co 0.000 0.000 0.000
Co 1.113 0.000 3.636
Co 1.113 3.193 3.636
Co 1.113 6.386 3.636
Co 3.339 9.578 10.908
Rh 2.226 4.320 7.272
Rh 2.226 8.451 7.272
```

3.
Density functional theory data (GGA-PBE) for PaCoRh after structural relaxation.

Calculated values
- SG = I4/mmm, No. 139
- D(E_F) (states/eV/cell) = 5.11
- energy above the most stable polymorph in this dataset (meV per atom) = 313
- magnetization (μB/atom) = 0.000
- formation energy from the elements (meV/atom) = -284

Geometry as extended XYZ:
```
6
Lattice="-1.721 1.721 9.308 1.721 -1.721 9.308 1.721 1.721 -9.308" Properties=species:S:1:pos:R:3 pbc="T T T"
Pa 0.000 0.000 2.628
Pa 0.000 0.000 15.989
Co 0.000 0.000 5.276
Co 0.000 0.000 13.340
Rh 0.000 0.000 8.002
Rh 0.000 0.000 10.615
```

4.
Density functional theory data (GGA-PBE) for PaCoRh after structural relaxation.

Calculated values
- SG = P-6m2, No. 187
- D(E_F) (states/eV/cell) = 4.79
- energy above the most stable polymorph in this dataset (meV per atom) = 271
- magnetization (μB/atom) = 0.149
- formation energy from the elements (meV/atom) = -327

Geometry as extended XYZ:
```
3
Lattice="4.188 0.000 0.000 -2.094 3.627 0.000 0.000 0.000 3.553" Properties=species:S:1:pos:R:3 pbc="T T T"
Pa 0.000 0.000 0.000
Co 2.094 1.209 1.776
Rh 0.000 2.418 1.776
```

5.
Density functional theory data (GGA-PBE) for PaCoRh5 after structural relaxation.

Calculated values
- SG = C2/c, No. 15
- D(E_F) (states/eV/cell) = 19.08
- magnetization (μB/atom) = 0.321
- formation energy from the elements (meV/atom) = -68

Geometry as extended XYZ:
```
14
Lattice="5.846 -3.211 0.000 5.846 3.211 0.000 -3.711 0.000 6.282" Properties=species:S:1:pos:R:3 pbc="T T T"
Pa 3.062 3.186 4.711
Pa 4.918 -3.186 1.570
Co 1.067 1.606 3.141
Co 2.923 -1.606 0.000
Rh 0.421 1.134 5.913
Rh 3.330 1.352 2.193
Rh 3.062 0.684 4.711
Rh 6.507 1.352 0.948
Rh 5.704 1.134 3.510
Rh 2.277 -1.134 2.772
Rh 1.474 -1.352 5.334
Rh 4.918 -0.684 1.570
Rh 4.651 -1.352 4.089
Rh 7.559 -1.134 0.369
```

6.
Density functional theory data (GGA-PBE) for Pa4CoRh after structural relaxation.

Calculated values
- SG = P4/mcc, No. 124
- D(E_F) (states/eV/cell) = 19.71
- magnetization (μB/atom) = 0.000
- formation energy from the elements (meV/atom) = -336

Geometry as extended XYZ:
```
12
Lattice="6.781 0.000 0.000 0.000 6.781 0.000 0.000 0.000 5.524" Properties=species:S:1:pos:R:3 pbc="T T T"
Pa 1.015 2.289 0.000
Pa 1.015 4.493 2.762
Pa 2.289 1.015 2.762
Pa 2.289 5.766 0.000
Pa 4.493 1.015 0.000
Pa 4.493 5.766 2.762
Pa 5.766 2.289 2.762
Pa 5.766 4.493 0.000
Co 0.000 0.000 1.381
Co 0.000 0.000 4.143
Rh 3.391 3.391 1.381
Rh 3.391 3.391 4.143
```

Q: Look up the magnetization of the fourth one.
A: 0.149 μB/atom

Repeat the fourth record exactly.
Density functional theory data (GGA-PBE) for PaCoRh after structural relaxation.

Calculated values
- SG = P-6m2, No. 187
- D(E_F) (states/eV/cell) = 4.79
- energy above the most stable polymorph in this dataset (meV per atom) = 271
- magnetization (μB/atom) = 0.149
- formation energy from the elements (meV/atom) = -327

Geometry as extended XYZ:
```
3
Lattice="4.188 0.000 0.000 -2.094 3.627 0.000 0.000 0.000 3.553" Properties=species:S:1:pos:R:3 pbc="T T T"
Pa 0.000 0.000 0.000
Co 2.094 1.209 1.776
Rh 0.000 2.418 1.776
```

Q: Which value of D(E_F) does entry 4 give?
A: 4.79 states/eV/cell

Q: D(E_F) of number 3 (PaCoRh)?
A: 5.11 states/eV/cell